Li2MoAu | GGA-PBE | relaxed

## Properties
VASP energy: -4.160 eV per atom
magnetization: 2.41 μB/cell
Fermi-level density of states: 3.034 states/eV/f.u.
offset from the most stable computed form: 280 meV/atom
theoretical density: 7.99 Mg/m³
crystal system: tetragonal

Cell and atoms, written as CIF:
```
data_Li2MoAu
_space_group_name_H-M_alt 'P 4/m m m'
_space_group_IT_number 123
_space_group_name_Hall '-P 4 2'
_cell_length_a 3.918
_cell_length_b 3.918
_cell_length_c 4.152
_cell_angle_alpha 90.00
_cell_angle_beta 90.00
_cell_angle_gamma 90.00
loop_
_atom_site_label
_atom_site_fract_x
_atom_site_fract_y
_atom_site_fract_z
Li1 0.000 0.500 0.000
Mo1 0.000 0.000 0.500
Au1 0.500 0.500 0.500
```


LiMo4Au | GGA-PBE | relaxed

## Properties
VASP energy: -7.622 eV per atom
magnetization: 0.00 μB/cell
Fermi-level density of states: 3.956 states/eV/f.u.
theoretical density: 9.59 Mg/m³
crystal system: cubic

Cell and atoms, written as CIF:
```
data_LiMo4Au
_space_group_name_H-M_alt 'F -4 3 m'
_space_group_IT_number 216
_space_group_name_Hall 'F -4 2 3'
_cell_length_a 7.411
_cell_length_b 7.411
_cell_length_c 7.411
_cell_angle_alpha 90.00
_cell_angle_beta 90.00
_cell_angle_gamma 90.00
loop_
_atom_site_label
_atom_site_fract_x
_atom_site_fract_y
_atom_site_fract_z
Li1 0.000 0.000 0.000
Mo1 0.127 0.127 0.373
Au1 0.250 0.250 0.750
```


- What is the theoretical density in the first record?
  7.99 Mg/m³


- Look up the magnetization of the second one.
  0.00 μB/cell


Copy entry 1 word for word.
Li2MoAu | GGA-PBE | relaxed

## Properties
VASP energy: -4.160 eV per atom
magnetization: 2.41 μB/cell
Fermi-level density of states: 3.034 states/eV/f.u.
offset from the most stable computed form: 280 meV/atom
theoretical density: 7.99 Mg/m³
crystal system: tetragonal

Cell and atoms, written as CIF:
```
data_Li2MoAu
_space_group_name_H-M_alt 'P 4/m m m'
_space_group_IT_number 123
_space_group_name_Hall '-P 4 2'
_cell_length_a 3.918
_cell_length_b 3.918
_cell_length_c 4.152
_cell_angle_alpha 90.00
_cell_angle_beta 90.00
_cell_angle_gamma 90.00
loop_
_atom_site_label
_atom_site_fract_x
_atom_site_fract_y
_atom_site_fract_z
Li1 0.000 0.500 0.000
Mo1 0.000 0.000 0.500
Au1 0.500 0.500 0.500
```